The following is a PBE+U calculation of crystalline BaVAgF6 at its relaxed geometry, from Alexandria via LeMat-Bulk.

## Properties
Mass density: 4765 kg/m³
Crystal system: triclinic
E: -5.406 eV per atom
Space group: P1
Spin magnetization: 2.0 μB per formula unit

```
BaVAgF6
1.0
-3.8203 -1.7215 4.0372
-4.6154 -3.1717 -1.5588
2.5592 -4.0839 0.6892
F V Ba Ag
6 1 1 1
Direct
0.0211 0.5467 0.7584 F
0.0938 0.2447 0.3146 F
0.5489 0.4323 0.7547 F
0.6580 0.0956 0.3103 F
0.4338 0.0191 0.7574 F
0.2441 0.6604 0.3116 F
0.3332 0.3333 0.5225 V
0.9997 0.0007 0.8891 Ba
0.6671 0.6672 0.3814 Ag
```